(1)
Crystalline Pm2CuSi2Rh5 at its relaxed geometry. Source: Alexandria, functional PBE-GGA.

As for the crystal system: tetragonal. For the total energy, the calculation gives -6.86 eV per atom.

It has space group P4/mbm (No. 127), with a = 9.872 Å, b = 9.872 Å, c = 3.442 Å, α = 90.00°, β = 90.00° and γ = 90.00°. The asymmetric unit holds Pm at (0.175, 0.325, 0.000), Cu at (0.000, 0.000, 0.000), Si at (0.125, 0.625, 0.000), Rh at (0.000, 0.500, 0.500) and Rh at (0.067, 0.789, 0.500).



(2)
Crystalline Pm3CuSi6Rh2 at its relaxed geometry. Source: Alexandria, functional PBE-GGA.

As for the crystal system: trigonal. For the total energy, the calculation gives -5.88 eV per atom.

It has space group P-3m1 (No. 164), with a = 5.3788 Å, b = 5.3788 Å, c = 9.1414 Å, α = 90.00°, β = 90.00° and γ = 120.00°. The asymmetric unit holds Pm at (0.0000, 0.0000, 0.0000), Pm at (0.3333, 0.6667, 0.5822), Cu at (0.0000, 0.0000, 0.5000), Si at (0.1659, 0.3319, 0.2786) and Rh at (0.3333, 0.6667, 0.0805).



(3)
Crystalline PmSmCuRh at its relaxed geometry. Source: Alexandria, functional PBE-GGA.

As for the crystal system: cubic. As for the formation energy: -0.451 eV/atom. As for the excess energy over the best structure of this formula in the dataset: 0.20 eV per formula unit.

It has space group F-43m (No. 216), with a = 7.070 Å, b = 7.070 Å, c = 7.070 Å, α = 90.00°, β = 90.00° and γ = 90.00°. The asymmetric unit holds Pm at (0.000, 0.000, 0.000), Sm at (0.000, 0.000, 0.500), Cu at (0.250, 0.250, 0.750) and Rh at (0.250, 0.250, 0.250).



What is the formula in the third record?
PmSmCuRh